# 1
Compound: TmPuTe2
Source: Alexandria via LeMat-Bulk
Functional: GGA-PBE
Structure: optimized geometry

CIF file:
```
data_TmPuTe2
_cell_length_a 4.191
_cell_length_b 4.191
_cell_length_c 8.156
_cell_angle_alpha 75.11
_cell_angle_beta 75.11
_cell_angle_gamma 60.00
_symmetry_space_group_name_H-M 'P 1'
_symmetry_Int_Tables_number 1
loop_
_symmetry_equiv_pos_as_xyz
'x,y,z'
loop_
_atom_site_label
_atom_site_type_symbol
_atom_site_fract_x
_atom_site_fract_y
_atom_site_fract_z
_atom_site_occupancy
Tm1 Tm 0.497 0.497 0.508 1
Pu1 Pu 0.670 0.670 0.991 1
Te1 Te 0.085 0.085 0.745 1
Te2 Te 0.248 0.248 0.256 1
```

Its magnetization is 1.4100 μB per atom. The density comes out at 9.366 g/cm³. The symmetry is No. 160.

# 2
Compound: Tm3PuTe6
Source: Alexandria via LeMat-Bulk
Functional: GGA-PBE
Structure: optimized geometry

CIF file:
```
data_Tm3PuTe6
_cell_length_a 4.335
_cell_length_b 12.414
_cell_length_c 12.686
_cell_angle_alpha 109.44
_cell_angle_beta 90.00
_cell_angle_gamma 90.00
_symmetry_space_group_name_H-M 'P 1'
_symmetry_Int_Tables_number 1
loop_
_symmetry_equiv_pos_as_xyz
'x,y,z'
loop_
_atom_site_label
_atom_site_type_symbol
_atom_site_fract_x
_atom_site_fract_y
_atom_site_fract_z
_atom_site_occupancy
Tm1 Tm 0.750 0.434 0.836 1
Tm2 Tm 0.250 0.566 0.164 1
Tm3 Tm 0.750 0.682 0.501 1
Tm4 Tm 0.250 0.318 0.499 1
Tm5 Tm 0.750 0.154 0.080 1
Tm6 Tm 0.250 0.846 0.920 1
Pu1 Pu 0.750 0.046 0.694 1
Pu2 Pu 0.250 0.954 0.306 1
Te1 Te 0.750 0.482 0.618 1
Te2 Te 0.250 0.518 0.382 1
Te3 Te 0.750 0.917 0.099 1
Te4 Te 0.250 0.083 0.901 1
Te5 Te 0.750 0.392 0.061 1
Te6 Te 0.250 0.608 0.939 1
Te7 Te 0.750 0.744 0.278 1
Te8 Te 0.250 0.256 0.722 1
Te9 Te 0.750 0.116 0.465 1
Te10 Te 0.250 0.884 0.535 1
Te11 Te 0.750 0.804 0.751 1
Te12 Te 0.250 0.196 0.249 1
```

Its magnetization is 0.5013 μB per atom. The density comes out at 7.824 g/cm³. The symmetry is No. 11.

# 3
Compound: TmPu2Te4
Source: Alexandria via LeMat-Bulk
Functional: GGA-PBE
Structure: optimized geometry

CIF file:
```
data_TmPu2Te4
_cell_length_a 4.245
_cell_length_b 7.522
_cell_length_c 15.146
_cell_angle_alpha 90.00
_cell_angle_beta 90.00
_cell_angle_gamma 106.39
_symmetry_space_group_name_H-M 'P 1'
_symmetry_Int_Tables_number 1
loop_
_symmetry_equiv_pos_as_xyz
'x,y,z'
loop_
_atom_site_label
_atom_site_type_symbol
_atom_site_fract_x
_atom_site_fract_y
_atom_site_fract_z
_atom_site_occupancy
Tm1 Tm 0.622 0.244 0.750 1
Tm2 Tm 0.378 0.756 0.250 1
Pu1 Pu 0.135 0.270 0.431 1
Pu2 Pu 0.865 0.730 0.931 1
Pu3 Pu 0.135 0.270 0.069 1
Pu4 Pu 0.865 0.730 0.569 1
Te1 Te 0.782 0.565 0.126 1
Te2 Te 0.782 0.565 0.374 1
Te3 Te 0.218 0.435 0.874 1
Te4 Te 0.218 0.435 0.626 1
Te5 Te 0.970 0.940 0.750 1
Te6 Te 0.030 0.060 0.250 1
Te7 Te 0.500 0.000 0.000 1
Te8 Te 0.500 0.000 0.500 1
```

Its magnetization is 1.5706 μB per atom. The density comes out at 8.354 g/cm³. The symmetry is No. 63.

Number 1: ΔE_f (raw) -4.41 eV/f.u.. Number 2: ΔE_f (raw) -12.45 eV/f.u.. Number 3: ΔE_f (raw) -7.61 eV/f.u..